(1)
First-principles (PBE-GGA) data for a geometry-optimized NpSbHPd structure, as listed in Alexandria.

a = 4.556 Å, b = 4.556 Å, c = 3.950 Å
α = 90.00°, β = 90.00°, γ = 120.00°
Last column: magnetic moment on the atom in μB.
Atoms (fractional coordinates):
Np 0.572 0.144 0.320  3.83
Sb 0.905 0.810 0.849  -0.08
Pd 0.239 0.477 0.763  0.03
H 0.239 0.477 0.307  -0.01

Summary:
DFT total energy, eV/f.u.: -27.05
Density of states at the Fermi level, states/eV/f.u.: 8.22
Magnetization, Bohr magnetons per cell: 4.0
Mass density, g/cm3: 10.90

---

(2)
First-principles (PBE-GGA) data for a geometry-optimized La2ErFe9 structure, as listed in Alexandria.

a = 5.140 Å, b = 5.140 Å, c = 8.843 Å
α = 73.10°, β = 73.10°, γ = 60.00°
Last column: magnetic moment on the atom in μB.
Atoms (fractional coordinates):
Fe 0.423 0.918 0.236  2.29
Fe 0.500 0.500 0.500  2.13
Fe 0.918 0.423 0.236  2.29
Fe 0.333 0.333 0.001  2.41
Fe 0.577 0.082 0.764  2.29
Fe 0.082 0.577 0.764  2.29
Fe 0.423 0.423 0.236  2.29
Fe 0.667 0.667 0.999  2.41
Fe 0.577 0.577 0.764  2.29
La 0.141 0.141 0.577  -0.32
La 0.859 0.859 0.423  -0.32
Er 0.000 0.000 0.000  -0.46

Summary:
DFT total energy, eV/f.u.: -90.42
Density of states at the Fermi level, states/eV/f.u.: 11.16
Magnetization, Bohr magnetons per cell: 19.1
Mass density, g/cm3: 8.26